No. 1
DFT (PBE) results for TlCdNO after structural relaxation.

Values from the calculation:
Crystal system   tetragonal
Symmetry   P4/nmm, No. 129

Cell lengths 4.3546, 4.3546, 7.5243 Å; angles 90.00, 90.00, 90.00 degrees
Element x y z (fractional)
N 0.0000 0.5000 0.4025
N 0.5000 0.0000 0.5975
Cd 0.0000 0.0000 0.5000
Cd 0.5000 0.5000 0.5000
Tl 0.5000 0.0000 0.8835
Tl 0.0000 0.5000 0.1165
O 0.5000 0.5000 0.0000
O 0.0000 0.0000 0.0000

No. 2
DFT (PBE) results for TlCdNO after structural relaxation.

Values from the calculation:
Crystal system   orthorhombic
Symmetry   Pmc2_1, No. 26

Cell lengths 3.7092, 5.8803, 6.2948 Å; angles 90.00, 90.00, 90.00 degrees
Element x y z (fractional)
O 0.5000 0.3812 0.1670
O 0.5000 0.8812 0.8330
Cd 0.0000 0.5006 0.3388
Cd 0.0000 0.0006 0.6612
N 0.0000 0.8804 0.3253
N 0.0000 0.3804 0.6747
Tl 0.5000 0.4919 0.8214
Tl 0.5000 0.9919 0.1786

No. 3
DFT (PBE) results for TlCdNO after structural relaxation.

Values from the calculation:
Crystal system   orthorhombic
Symmetry   Pmc2_1, No. 26

Cell lengths 3.6844, 5.9276, 6.2945 Å; angles 90.00, 90.00, 90.00 degrees
Element x y z (fractional)
Cd 0.5000 0.4947 0.8333
Cd 0.5000 0.9947 0.1667
N 0.0000 0.8746 0.3233
N 0.0000 0.3746 0.6767
Tl 0.0000 0.5071 0.3500
Tl 0.0000 0.0071 0.6500
O 0.5000 0.3775 0.1720
O 0.5000 0.8775 0.8280

No. 4
DFT (PBE) results for TlCdNO after structural relaxation.

Values from the calculation:
Crystal system   tetragonal
Symmetry   P4/nmm, No. 129

Cell lengths 4.7681, 4.7681, 4.9507 Å; angles 90.00, 90.00, 90.00 degrees
Element x y z (fractional)
O 0.0000 0.0000 0.0000
O 0.5000 0.5000 0.0000
N 0.5000 0.0000 0.4997
N 0.0000 0.5000 0.5003
Cd 0.5000 0.0000 0.0013
Cd 0.0000 0.5000 0.9987
Tl 0.5000 0.5000 0.5000
Tl 0.0000 0.0000 0.5000

No. 5
DFT (PBE) results for TmCdNO after structural relaxation.

Values from the calculation:
Spin magnetization   0.0 μB per cell
Crystal system   orthorhombic
Symmetry   Pmc2_1, No. 26

Cell lengths 3.8267, 5.5186, 6.1784 Å; angles 90.00, 90.00, 90.00 degrees
Element x y z (fractional)
O 0.5000 0.4043 0.1726
O 0.5000 0.9043 0.8274
N 0.0000 0.8865 0.3429
N 0.0000 0.3865 0.6571
Cd 0.5000 0.4766 0.8063
Cd 0.5000 0.9766 0.1937
Tm 0.0000 0.9866 0.6844
Tm 0.0000 0.4866 0.3156

No. 6
DFT (PBE) results for TmCdNO after structural relaxation.

Values from the calculation:
Spin magnetization   0.0 μB per cell
Crystal system   tetragonal
Symmetry   P4/nmm, No. 129

Cell lengths 4.8261, 4.8261, 4.5893 Å; angles 90.00, 90.00, 90.00 degrees
Element x y z (fractional)
Cd 0.0000 0.5000 0.0010
Cd 0.5000 0.0000 0.9990
O 0.5000 0.5000 0.0000
O 0.0000 0.0000 0.0000
N 0.5000 0.0000 0.4990
N 0.0000 0.5000 0.5010
Tm 0.0000 0.0000 0.5000
Tm 0.5000 0.5000 0.5000

No. 7
DFT (PBE) results for TmCdNO after structural relaxation.

Values from the calculation:
Spin magnetization   0.0 μB per cell
Crystal system   orthorhombic
Symmetry   Pca2_1, No. 29

Cell lengths 6.2519, 7.4336, 5.9906 Å; angles 90.00, 90.00, 90.00 degrees
Element x y z (fractional)
N 0.4445 0.1411 0.1186
N 0.5555 0.8589 0.6186
N 0.0555 0.1411 0.6186
N 0.9445 0.8589 0.1186
Tm 0.5840 0.3759 0.9854
Tm 0.0840 0.6241 0.9854
Tm 0.9160 0.3759 0.4854
Tm 0.4160 0.6241 0.4854
O 0.1042 0.5890 0.6266
O 0.6042 0.4110 0.6266
O 0.8958 0.4110 0.1266
O 0.3958 0.5890 0.1266
Cd 0.1253 0.0895 0.9718
Cd 0.6253 0.9105 0.9718
Cd 0.3747 0.0895 0.4718
Cd 0.8747 0.9105 0.4718

No. 8
DFT (PBE) results for TmCdNO after structural relaxation.

Values from the calculation:
Spin magnetization   0.0 μB per cell
Crystal system   tetragonal
Symmetry   P4/nmm, No. 129

Cell lengths 3.8210, 3.8210, 7.9345 Å; angles 90.00, 90.00, 90.00 degrees
Element x y z (fractional)
N 0.2500 0.2500 0.6832
N 0.7500 0.7500 0.3168
O 0.7500 0.2500 0.0000
O 0.2500 0.7500 0.0000
Tm 0.2500 0.2500 0.1341
Tm 0.7500 0.7500 0.8659
Cd 0.7500 0.2500 0.5000
Cd 0.2500 0.7500 0.5000

Record-wise E above lowest polymorph values, in eV/atom: 0.130 0.023 0.033 0.112 0.026 0.000 0.081 0.242